Entry from Alexandria via LeMat-Bulk: a relaxed Tb2P3Pd5 crystal (PBE-GGA).

Calculated values
space-group type	Cmc2_1, No. 36
electronic total energy	-60.52	eV/f.u.
calculated volume	170.6	Å³/f.u.
total magnetic moment	0.00	μB/atom
ΔE_f	-9.06	eV per formula unit

a b c (Å): 11.948 11.948 6.932
angles (deg): 90.00 90.00 159.83
Positions (direct):
Tb  0.024  0.976  0.500
Tb  0.326  0.674  0.534
Tb  0.674  0.326  0.034
Tb  0.976  0.024  0.000
P  0.108  0.892  0.201
P  0.271  0.729  0.085
P  0.455  0.545  0.288
P  0.545  0.455  0.788
P  0.729  0.271  0.585
P  0.892  0.108  0.701
Pd  0.099  0.901  0.846
Pd  0.197  0.803  0.382
Pd  0.224  0.776  0.777
Pd  0.371  0.629  0.073
Pd  0.445  0.555  0.697
Pd  0.555  0.445  0.197
Pd  0.629  0.371  0.573
Pd  0.776  0.224  0.277
Pd  0.803  0.197  0.882
Pd  0.901  0.099  0.346


Entry from Alexandria via LeMat-Bulk: a relaxed Zr2VAs crystal (PBE-GGA).

Calculated values
space-group type	Fm-3m, No. 225
electronic total energy	-31.51	eV/f.u.
calculated volume	73.6	Å³/f.u.
polymorph energy (0 for the lowest one)	0.000	eV/atom
total magnetic moment	0.00	μB/atom
ΔE_f	-0.64	eV per formula unit

a b c (Å): 6.654 6.654 6.654
angles (deg): 90.00 90.00 90.00
Positions (direct):
Zr  0.250  0.250  0.250
Zr  0.250  0.250  0.750
Zr  0.250  0.750  0.250
Zr  0.250  0.750  0.750
Zr  0.750  0.250  0.250
Zr  0.750  0.250  0.750
Zr  0.750  0.750  0.250
Zr  0.750  0.750  0.750
V  0.000  0.000  0.000
V  0.000  0.500  0.500
V  0.500  0.000  0.500
V  0.500  0.500  0.000
As  0.000  0.000  0.500
As  0.000  0.500  0.000
As  0.500  0.000  0.000
As  0.500  0.500  0.500


Entry from Alexandria via LeMat-Bulk: a relaxed Dy2YNpN4 crystal (PBE-GGA).

Calculated values
space-group type	P2/m, No. 10
electronic total energy	-74.33	eV/f.u.
calculated volume	117.2	Å³/f.u.
total magnetic moment	0.38	μB/atom
formation energy from raw total energies	-12.4	eV per formula unit

a b c (Å): 5.980 3.464 5.981
angles (deg): 90.00 108.99 90.00
Positions (direct):
Dy  0.000  0.000  0.000
Dy  0.000  0.500  0.500
Y  0.500  0.000  0.500
Np  0.500  0.500  0.000
N  0.257  0.000  0.758
N  0.260  0.500  0.239
N  0.740  0.500  0.761
N  0.743  0.000  0.242


Entry from Alexandria via LeMat-Bulk: a relaxed KNa2As crystal (PBE-GGA).

Calculated values
space-group type	I-42d, No. 122
electronic total energy	-8.96	eV/f.u.
calculated volume	141.1	Å³/f.u.
total magnetic moment	0.00	μB/atom
ΔE_f	-0.58	eV per formula unit

a b c (Å): 5.388 5.388 19.445
angles (deg): 90.00 90.00 90.00
Positions (direct):
K  0.000  0.000  0.000
K  0.000  0.500  0.250
K  0.500  0.000  0.750
K  0.500  0.500  0.500
Na  0.124  0.250  0.625
Na  0.250  0.624  0.875
Na  0.250  0.876  0.375
Na  0.376  0.250  0.125
Na  0.624  0.750  0.125
Na  0.750  0.124  0.375
Na  0.750  0.376  0.875
Na  0.876  0.750  0.625
As  0.000  0.000  0.500
As  0.000  0.500  0.750
As  0.500  0.000  0.250
As  0.500  0.500  0.000


Entry from Alexandria via LeMat-Bulk: a relaxed LaNbGa crystal (PBE-GGA).

Calculated values
space-group type	P4/nmm, No. 129
electronic total energy	-18.94	eV/f.u.
calculated volume	73.5	Å³/f.u.
total magnetic moment	0.00	μB/atom
ΔE_f	-0.91	eV per formula unit

a b c (Å): 4.112 4.112 8.697
angles (deg): 90.00 90.00 90.00
Positions (direct):
La  0.250  0.250  0.160
La  0.750  0.750  0.840
Nb  0.250  0.750  0.500
Nb  0.750  0.250  0.500
Ga  0.250  0.250  0.721
Ga  0.750  0.750  0.279


Entry from Alexandria via LeMat-Bulk: a relaxed Pu2Ni4Pt5 crystal (PBE-GGA).

Calculated values
space-group type	Fmmm, No. 69
electronic total energy	-85.75	eV/f.u.
calculated volume	192.0	Å³/f.u.
total magnetic moment	0.69	μB/atom
ΔE_f	-3.75	eV per formula unit

a b c (Å): 9.157 8.429 5.218
angles (deg): 80.56 65.24 34.20
Positions (direct):
Pu  0.130  0.130  0.870
Pu  0.870  0.870  0.130
Ni  0.214  0.527  0.473
Ni  0.473  0.786  0.214
Ni  0.527  0.214  0.786
Ni  0.786  0.473  0.527
Pt  0.000  0.000  0.500
Pt  0.250  0.250  0.250
Pt  0.500  0.500  0.000
Pt  0.500  0.500  0.500
Pt  0.750  0.750  0.750


Entry from Alexandria via LeMat-Bulk: a relaxed BaTlRh2 crystal (PBE-GGA).

Calculated values
space-group type	I-42d, No. 122
electronic total energy	-17.78	eV/f.u.
calculated volume	98.7	Å³/f.u.
total magnetic moment	0.00	μB/atom
ΔE_f	1.21	eV per formula unit

a b c (Å): 7.742 7.742 6.588
angles (deg): 90.00 90.00 90.00
Positions (direct):
Ba  0.000  0.000  0.000
Ba  0.000  0.500  0.250
Ba  0.500  0.000  0.750
Ba  0.500  0.500  0.500
Tl  0.000  0.000  0.500
Tl  0.000  0.500  0.750
Tl  0.500  0.000  0.250
Tl  0.500  0.500  0.000
Rh  0.212  0.750  0.625
Rh  0.250  0.212  0.375
Rh  0.250  0.288  0.875
Rh  0.288  0.750  0.125
Rh  0.712  0.250  0.125
Rh  0.750  0.712  0.875
Rh  0.750  0.788  0.375
Rh  0.788  0.250  0.625


Entry from Alexandria via LeMat-Bulk: a relaxed SiSnMoAs2 crystal (PBE-GGA).

Calculated values
space-group type	P4/mmm, No. 123
electronic total energy	-25.24	eV/f.u.
calculated volume	110.6	Å³/f.u.
total magnetic moment	0.31	μB/atom
formation energy from raw total energies	4.3	eV per formula unit

a b c (Å): 4.826 4.826 4.748
angles (deg): 90.00 90.00 90.00
Positions (direct):
Si  0.000  0.000  0.000
Sn  0.500  0.500  0.500
Mo  0.000  0.000  0.500
As  0.000  0.500  0.000
As  0.500  0.000  0.000


Entry from Alexandria via LeMat-Bulk: a relaxed Ce5Pu2Sb5 crystal (PBE-GGA).

Calculated values
space-group type	C2/m, No. 12
electronic total energy	-87.31	eV/f.u.
calculated volume	347.3	Å³/f.u.
total magnetic moment	1.27	μB/atom
formation energy from raw total energies	-8.4	eV per formula unit

a b c (Å): 8.204 8.204 12.586
angles (deg): 122.11 122.11 29.39
Positions (direct):
Ce  0.000  0.000  0.000
Ce  0.148  0.148  0.479
Ce  0.164  0.164  0.787
Ce  0.836  0.836  0.213
Ce  0.852  0.852  0.521
Pu  0.427  0.427  0.691
Pu  0.573  0.573  0.309
Sb  0.212  0.212  0.281
Sb  0.376  0.376  0.053
Sb  0.500  0.500  0.500
Sb  0.624  0.624  0.947
Sb  0.788  0.788  0.719